Record 1
# MgZrMnRu | the Alexandria database | PBE | optimized geometry
data_MgZrMnRu
_cell_length_a 6.449
_cell_length_b 6.449
_cell_length_c 6.449
_cell_angle_alpha 90.00
_cell_angle_beta 90.00
_cell_angle_gamma 90.00
_symmetry_space_group_name_H-M 'F -4 3 m'
_symmetry_Int_Tables_number 216
_symmetry_space_group_name_Hall 'F -4 2 3'
loop_
_atom_site_label
_atom_site_type_symbol
_atom_site_fract_x
_atom_site_fract_y
_atom_site_fract_z
Mg1 Mg 0.000 0.000 0.000
Zr1 Zr 0.000 0.000 0.500
Mn1 Mn 0.250 0.250 0.750
Ru1 Ru 0.250 0.250 0.250
# calculated volume: 16.77 A^3/atom
# energy relative to the elements: -0.129 eV per atom

***

Record 2
# Mg3MnS | the Alexandria database | PBE | optimized geometry
data_Mg3MnS
_cell_length_a 4.836
_cell_length_b 4.836
_cell_length_c 4.836
_cell_angle_alpha 90.00
_cell_angle_beta 90.00
_cell_angle_gamma 90.00
_symmetry_space_group_name_H-M 'P m -3 m'
_symmetry_Int_Tables_number 221
_symmetry_space_group_name_Hall '-P 4 2 3'
loop_
_atom_site_label
_atom_site_type_symbol
_atom_site_fract_x
_atom_site_fract_y
_atom_site_fract_z
Mg1 Mg 0.000 0.000 0.500
Mn1 Mn 0.500 0.500 0.500
S1 S 0.000 0.000 0.000
# calculated volume: 22.62 A^3/atom
# formation energy from raw total energies: 0.65 eV/f.u.
# E above lowest polymorph: 0 meV/atom

***

Record 3
# Mg2MnS | the Alexandria database | PBE | optimized geometry
data_Mg2MnS
_cell_length_a 7.597
_cell_length_b 7.597
_cell_length_c 5.591
_cell_angle_alpha 90.00
_cell_angle_beta 90.00
_cell_angle_gamma 90.00
_symmetry_space_group_name_H-M 'I -4 2 d'
_symmetry_Int_Tables_number 122
_symmetry_space_group_name_Hall 'I -4 2bw'
loop_
_atom_site_label
_atom_site_type_symbol
_atom_site_fract_x
_atom_site_fract_y
_atom_site_fract_z
Mg1 Mg 0.196 0.250 0.125
Mn1 Mn 0.000 0.000 0.500
S1 S 0.000 0.000 0.000
# calculated volume: 20.17 A^3/atom
# formation energy from raw total energies: -0.24 eV/f.u.

***

Record 4
# MgMn4S8 | the Alexandria database | PBE | optimized geometry
data_MgMn4S8
_cell_length_a 6.9235
_cell_length_b 6.9235
_cell_length_c 17.5981
_cell_angle_alpha 90.00
_cell_angle_beta 90.00
_cell_angle_gamma 120.00
_symmetry_space_group_name_H-M 'R -3 m'
_symmetry_Int_Tables_number 166
_symmetry_space_group_name_Hall '-R 3 2"'
loop_
_atom_site_label
_atom_site_type_symbol
_atom_site_fract_x
_atom_site_fract_y
_atom_site_fract_z
Mg1 Mg 0.0000 0.0000 0.0000
Mn1 Mn 0.0000 0.0000 0.5000
Mn2 Mn 0.0000 0.5000 0.0000
S1 S 0.0000 0.0000 0.2617
S2 S 0.0203 0.5102 0.2564
# calculated volume: 18.73 A^3/atom
# formation energy from raw total energies: -8.45 eV/f.u.
# E above lowest polymorph: 17 meV/atom

***

Record 5
# MgMn4S2 | the Alexandria database | PBE | optimized geometry
data_MgMn4S2
_cell_length_a 4.747
_cell_length_b 4.747
_cell_length_c 12.772
_cell_angle_alpha 90.00
_cell_angle_beta 90.00
_cell_angle_gamma 90.00
_symmetry_space_group_name_H-M 'I 4/m m m'
_symmetry_Int_Tables_number 139
_symmetry_space_group_name_Hall '-I 4 2'
loop_
_atom_site_label
_atom_site_type_symbol
_atom_site_fract_x
_atom_site_fract_y
_atom_site_fract_z
Mg1 Mg 0.000 0.000 0.000
Mn1 Mn 0.000 0.000 0.203
Mn2 Mn 0.000 0.500 0.000
S1 S 0.000 0.000 0.381
# calculated volume: 20.56 A^3/atom
# formation energy from raw total energies: 5.52 eV/f.u.

***

Record 6
# Mg3MnS | the Alexandria database | PBE | optimized geometry
data_Mg3MnS
_cell_length_a 5.079
_cell_length_b 5.079
_cell_length_c 5.079
_cell_angle_alpha 90.00
_cell_angle_beta 90.00
_cell_angle_gamma 90.00
_symmetry_space_group_name_H-M 'P m -3 m'
_symmetry_Int_Tables_number 221
_symmetry_space_group_name_Hall '-P 4 2 3'
loop_
_atom_site_label
_atom_site_type_symbol
_atom_site_fract_x
_atom_site_fract_y
_atom_site_fract_z
Mg1 Mg 0.000 0.000 0.500
Mn1 Mn 0.000 0.000 0.000
S1 S 0.500 0.500 0.500
# calculated volume: 26.20 A^3/atom
# formation energy from raw total energies: 3.30 eV/f.u.
# E above lowest polymorph: 531 meV/atom

***

Among the records above, which one has the lowest calculated volume?
MgZrMnRu